VASP calculation (PBE-GGA) on a geometry-optimized BaAgGeAuS4 structure.

Summary:
E_tot = -70.4 eV per cell
SG = C2 (5)

Cell lengths 9.6866, 8.2423, 6.6261 Å; angles 90.00, 130.58, 90.00 degrees
With the nearest neighbours (Å) after each atom.
Element x y z (fractional)
Ba  0.0000  0.0000  0.0000  8 S 3.31-3.47
Ba  0.5000  0.5000  0.0000  8 S 3.31-3.47
Ag  0.0000  0.6894  0.5000  2 S 2.47
Ag  0.5000  0.1894  0.5000  2 S 2.47
Ge  0.0000  0.5038  0.0000  4 S 2.24-2.28
Ge  0.5000  0.0038  0.0000  4 S 2.24-2.28
Au  0.0000  0.3307  0.5000  2 S 2.36
Au  0.5000  0.8307  0.5000  2 S 2.36
S  0.1745  0.3423  0.3667  1 Ge 2.28, 1 Au 2.36
S  0.1791  0.6634  0.9836  1 Ge 2.24, 1 Ag 2.47
S  0.3209  0.1634  0.0164  1 Ge 2.24, 1 Ag 2.47
S  0.3255  0.8423  0.6333  1 Ge 2.28, 1 Au 2.36
S  0.6745  0.8423  0.3667  1 Ge 2.28, 1 Au 2.36
S  0.6791  0.1634  0.9836  1 Ge 2.24, 1 Ag 2.47
S  0.8209  0.6634  0.0164  1 Ge 2.24, 1 Ag 2.47
S  0.8255  0.3423  0.6333  1 Ge 2.28, 1 Au 2.36

VASP calculation (PBE-GGA) on a geometry-optimized TbPmPa structure.

Summary:
Energy relative to the lowest polymorph listed for this composition = 0.00 eV per formula unit
SG = F-43m (216)
E_form = 1.09 eV/atom

Cell lengths 7.3598, 7.3598, 7.3598 Å; angles 90.00, 90.00, 90.00 degrees
With the nearest neighbours (Å) after each atom.
Element x y z (fractional)
Tb  0.0000  0.0000  0.0000  4 Pm 3.19
Tb  0.0000  0.5000  0.5000  4 Pm 3.19
Tb  0.5000  0.0000  0.5000  4 Pm 3.19
Tb  0.5000  0.5000  0.0000  4 Pm 3.19
Pm  0.2500  0.2500  0.7500  4 Pa 3.19, 4 Tb 3.19
Pm  0.2500  0.7500  0.2500  4 Pa 3.19, 4 Tb 3.19
Pm  0.7500  0.2500  0.2500  4 Pa 3.19, 4 Tb 3.19
Pm  0.7500  0.7500  0.7500  4 Pa 3.19, 4 Tb 3.19
Pa  0.0000  0.0000  0.5000  4 Pm 3.19
Pa  0.0000  0.5000  0.0000  4 Pm 3.19
Pa  0.5000  0.0000  0.0000  4 Pm 3.19
Pa  0.5000  0.5000  0.5000  4 Pm 3.19

VASP calculation (PBE-GGA) on a geometry-optimized OsI5 structure.

Summary:
E_tot = -36.1 eV per cell
SG = P-1 (2)

Cell lengths 6.9739, 7.3157, 9.8423 Å; angles 107.55, 90.49, 116.64 degrees
With the nearest neighbours (Å) after each atom.
Element x y z (fractional)
Os  0.1028  0.2066  0.2163  6 I 2.62-2.77
Os  0.8972  0.7934  0.7837  6 I 2.62-2.77
I  0.0728  0.8194  0.5514  1 Os 2.62
I  0.1250  0.6089  0.8461  1 Os 2.67
I  0.2378  0.1905  0.9511  2 Os 2.77
I  0.3238  0.0064  0.2528  1 Os 2.64
I  0.4397  0.5878  0.3498  1 Os 2.62
I  0.5603  0.4122  0.6502  1 Os 2.62
I  0.6762  0.9936  0.7472  1 Os 2.64
I  0.7622  0.8095  0.0489  2 Os 2.77
I  0.8750  0.3911  0.1539  1 Os 2.67
I  0.9272  0.1806  0.4486  1 Os 2.62

VASP calculation (PBE-GGA) on a geometry-optimized NaIrSeO structure.

Summary:
Energy relative to the lowest polymorph listed for this composition = 3.16 eV per formula unit
SG = P4/nmm (129)

Cell lengths 3.7336, 3.7336, 8.7201 Å; angles 90.00, 90.00, 90.00 degrees
With the nearest neighbours (Å) after each atom.
Element x y z (fractional)
Na  0.2500  0.7500  0.0000  4 Na 2.64, 4 Se 2.82
Na  0.7500  0.2500  0.0000  4 Na 2.64, 4 Se 2.82
Ir  0.2500  0.2500  0.3634  4 O 2.21
Ir  0.7500  0.7500  0.6366  4 O 2.21
Se  0.2500  0.2500  0.7573  4 Na 2.82, 4 Ir 2.84, 4 O 2.92
Se  0.7500  0.7500  0.2427  4 Na 2.82, 4 Ir 2.84, 4 O 2.92
O  0.2500  0.7500  0.5000  4 Ir 2.21
O  0.7500  0.2500  0.5000  4 Ir 2.21

VASP calculation (PBE-GGA) on a geometry-optimized HfZnCdCu structure.

Summary:
Energy relative to the lowest polymorph listed for this composition = 0.14 eV per formula unit
SG = F-43m (216)
E_form = 0.07 eV/atom

Cell lengths 6.4828, 6.4828, 6.4828 Å; angles 90.00, 90.00, 90.00 degrees
With the nearest neighbours (Å) after each atom.
Element x y z (fractional)
Hf  0.0000  0.0000  0.0000  4 Cd 2.81, 4 Zn 2.81
Hf  0.0000  0.5000  0.5000  4 Cd 2.81, 4 Zn 2.81
Hf  0.5000  0.0000  0.5000  4 Cd 2.81, 4 Zn 2.81
Hf  0.5000  0.5000  0.0000  4 Cd 2.81, 4 Zn 2.81
Zn  0.2500  0.2500  0.2500  4 Cu 2.81, 4 Hf 2.81
Zn  0.2500  0.7500  0.7500  4 Cu 2.81, 4 Hf 2.81
Zn  0.7500  0.2500  0.7500  4 Cu 2.81, 4 Hf 2.81
Zn  0.7500  0.7500  0.2500  4 Cu 2.81, 4 Hf 2.81
Cd  0.2500  0.2500  0.7500  4 Hf 2.81, 4 Cu 2.81
Cd  0.2500  0.7500  0.2500  4 Hf 2.81, 4 Cu 2.81
Cd  0.7500  0.2500  0.2500  4 Hf 2.81, 4 Cu 2.81
Cd  0.7500  0.7500  0.7500  4 Hf 2.81, 4 Cu 2.81
Cu  0.0000  0.0000  0.5000  4 Cd 2.81, 4 Zn 2.81
Cu  0.0000  0.5000  0.0000  4 Cd 2.81, 4 Zn 2.81
Cu  0.5000  0.0000  0.0000  4 Cd 2.81, 4 Zn 2.81
Cu  0.5000  0.5000  0.5000  4 Cd 2.81, 4 Zn 2.81

VASP calculation (PBE-GGA) on a geometry-optimized SmErCI structure.

Summary:
E_tot = -68.9 eV per cell
SG = R3m (160)

Cell lengths 3.7827, 3.7827, 22.5284 Å; angles 90.00, 90.00, 120.00 degrees
With the nearest neighbours (Å) after each atom.
Element x y z (fractional)
Sm  0.0000  0.0000  0.0000  3 C 2.59
Sm  0.3333  0.6667  0.6667  3 C 2.59
Sm  0.6667  0.3333  0.3333  3 C 2.59
Er  0.0000  0.0000  0.4465  3 C 2.47
Er  0.3333  0.6667  0.1132  3 C 2.47
Er  0.6667  0.3333  0.7799  3 C 2.47
C  0.0000  0.0000  0.7283  3 Er 2.47, 3 Sm 2.59
C  0.3333  0.6667  0.3949  3 Er 2.47, 3 Sm 2.59
C  0.6667  0.3333  0.0616  3 Er 2.47, 3 Sm 2.59
I  0.0000  0.0000  0.2207  3 Er 3.26, 3 Sm 3.35
I  0.3333  0.6667  0.8873  3 Er 3.26, 3 Sm 3.35
I  0.6667  0.3333  0.5540  3 Er 3.26, 3 Sm 3.35

VASP calculation (PBE-GGA) on a geometry-optimized PrSmB2P2Ir2 structure.

Summary:
E_tot = -58.8 eV per cell
SG = P4mm (99)

Cell lengths 4.0129, 4.0129, 8.4159 Å; angles 90.00, 90.00, 90.00 degrees
With the nearest neighbours (Å) after each atom.
Element x y z (fractional)
Pr  0.0000  0.0000  0.0000  5 P 2.86-2.95
Sm  0.5000  0.5000  0.6112  5 P 2.86-2.89
B  0.0000  0.0000  0.4132  1 P 1.99, 4 Ir 2.20
B  0.5000  0.5000  0.1941  1 P 2.02, 4 Ir 2.21
P  0.0000  0.0000  0.6500  1 B 1.99
P  0.5000  0.5000  0.9543  1 B 2.02
Ir  0.0000  0.5000  0.3053  4 B 2.20-2.21
Ir  0.5000  0.0000  0.3053  4 B 2.20-2.21

VASP calculation (PBE-GGA) on a geometry-optimized Cu structure.

Summary:
Energy relative to the lowest polymorph listed for this composition = 0.35 eV per formula unit
SG = R-3m (166)
E_form = 0.35 eV/atom

Cell lengths 2.9357, 2.9357, 4.8884 Å; angles 90.00, 90.00, 120.00 degrees
With the nearest neighbours (Å) after each atom.
Element x y z (fractional)
Cu  0.0000  0.0000  0.0000  6 Cu 2.35
Cu  0.3333  0.6667  0.6667  6 Cu 2.35
Cu  0.6667  0.3333  0.3333  6 Cu 2.35

VASP calculation (PBE-GGA) on a geometry-optimized Y2HoSc3As2Os structure.

Summary:
E_tot = -64.8 eV per cell
SG = Amm2 (38)

Cell lengths 4.0903, 7.5477, 7.5477 Å; angles 120.13, 90.00, 90.00 degrees
With the nearest neighbours (Å) after each atom.
Element x y z (fractional)
Y  0.0000  0.2041  0.7959  4 As 3.07, 1 Os 3.09, 6 Sc 3.37-3.38
Y  0.0000  0.7959  0.2041  4 As 3.07, 1 Os 3.09, 6 Sc 3.37-3.38
Ho  0.0000  0.6109  0.6109  1 Os 3.04, 4 As 3.07, 6 Sc 3.36-3.38
Sc  0.5000  0.2046  0.4401  2 Os 2.70, 2 As 2.94-2.96
Sc  0.5000  0.4401  0.2046  2 Os 2.70, 2 As 2.94-2.96
Sc  0.5000  0.9689  0.9689  2 Os 2.72, 2 As 2.95
As  0.5000  0.5377  0.8702  3 Sc 2.94-2.96, 4 Y 3.07, 2 Ho 3.07
As  0.5000  0.8702  0.5377  3 Sc 2.94-2.96, 4 Y 3.07, 2 Ho 3.07
Os  0.0000  0.2067  0.2067  6 Sc 2.70-2.72

VASP calculation (PBE-GGA) on a geometry-optimized Li2ZrScGa2Pt2 structure.

Summary:
E_tot = -43.5 eV per cell
SG = P-4m2 (115)

Cell lengths 4.4848, 4.4848, 6.3405 Å; angles 90.00, 90.00, 90.00 degrees
With the nearest neighbours (Å) after each atom.
Element x y z (fractional)
Li  0.0000  0.5000  0.2424  4 Ga 2.72-2.77, 2 Sc 2.72, 2 Zr 2.77
Li  0.5000  0.0000  0.7576  4 Ga 2.72-2.77, 2 Sc 2.72, 2 Zr 2.77
Zr  0.5000  0.5000  0.5000  4 Pt 2.74, 4 Li 2.77
Sc  0.0000  0.0000  0.0000  4 Li 2.72, 4 Pt 2.75
Ga  0.0000  0.0000  0.5000  4 Pt 2.74, 4 Li 2.77
Ga  0.5000  0.5000  0.0000  4 Li 2.72, 4 Pt 2.75
Pt  0.0000  0.5000  0.7487  2 Zr 2.74, 4 Ga 2.74-2.75, 2 Sc 2.75
Pt  0.5000  0.0000  0.2513  2 Zr 2.74, 4 Ga 2.74-2.75, 2 Sc 2.75

VASP calculation (PBE-GGA) on a geometry-optimized GePd structure.

Summary:
E_tot = -39.4 eV per cell
SG = F-43m (216)

Cell lengths 5.6369, 5.6369, 5.6369 Å; angles 90.00, 90.00, 90.00 degrees
With the nearest neighbours (Å) after each atom.
Element x y z (fractional)
Ge  0.0000  0.0000  0.0000  4 Pd 2.44
Ge  0.0000  0.5000  0.5000  4 Pd 2.44
Ge  0.5000  0.0000  0.5000  4 Pd 2.44
Ge  0.5000  0.5000  0.0000  4 Pd 2.44
Pd  0.2500  0.2500  0.7500  4 Ge 2.44
Pd  0.2500  0.7500  0.2500  4 Ge 2.44
Pd  0.7500  0.2500  0.2500  4 Ge 2.44
Pd  0.7500  0.7500  0.7500  4 Ge 2.44

VASP calculation (PBE-GGA) on a geometry-optimized Y2ErTl3AgPt2 structure.

Summary:
E_tot = -45.5 eV per cell
SG = Amm2 (38)

Cell lengths 3.7583, 7.9207, 7.9207 Å; angles 119.78, 90.00, 90.00 degrees
With the nearest neighbours (Å) after each atom.
Element x y z (fractional)
Y  0.0000  0.2047  0.7953  4 Pt 3.06, 4 Tl 3.15-3.42, 1 Ag 3.25
Y  0.0000  0.7953  0.2047  4 Pt 3.06, 4 Tl 3.15-3.42, 1 Ag 3.25
Er  0.0000  0.3847  0.3847  4 Pt 3.02, 2 Tl 3.16, 1 Ag 3.26
Tl  0.5000  0.0657  0.0657  2 Ag 2.86, 2 Pt 2.91, 2 Er 3.16
Tl  0.5000  0.5245  0.7953  2 Ag 2.85, 2 Pt 2.92-2.94, 2 Y 3.15
Tl  0.5000  0.7953  0.5245  2 Ag 2.85, 2 Pt 2.92-2.94, 2 Y 3.15
Ag  0.0000  0.7944  0.7944  6 Tl 2.85-2.86
Pt  0.5000  0.1315  0.4612  3 Tl 2.91-2.94, 2 Er 3.02, 4 Y 3.06
Pt  0.5000  0.4612  0.1315  3 Tl 2.91-2.94, 2 Er 3.02, 4 Y 3.06